# 1
! SrPuSnHg PBE relaxed; values from VASP
&SYSTEM
  ibrav = 0, nat = 4, ntyp = 4
/
ATOMIC_SPECIES
Sr 87.62 Sr.upf
Pu 244.00 Pu.upf
Sn 118.71 Sn.upf
Hg 200.59 Hg.upf
CELL_PARAMETERS angstrom
0.000 3.918 3.918
3.918 0.000 3.918
3.918 3.918 0.000
ATOMIC_POSITIONS crystal
Sr 0.000 0.000 0.000
Pu 0.500 0.500 0.500
Sn 0.750 0.750 0.750
Hg 0.250 0.250 0.250
! SG: No. 216
! DFT formation energy: -371 meV/atom

---

# 2
! Al2NiSnC PBE relaxed; values from VASP
&SYSTEM
  ibrav = 0, nat = 5, ntyp = 4
/
ATOMIC_SPECIES
Al 26.98 Al.upf
Ni 58.69 Ni.upf
Sn 118.71 Sn.upf
C 12.01 C.upf
CELL_PARAMETERS angstrom
5.221 0.000 0.000
0.000 5.221 0.000
0.000 0.000 4.692
ATOMIC_POSITIONS crystal
Al 0.000 0.500 0.000
Al 0.500 0.000 0.000
Ni 0.000 0.000 0.500
Sn 0.000 0.000 0.000
C 0.500 0.500 0.500
! SG: No. 123
! DFT formation energy: 2104 meV/atom

---

# 3
! MgPb2W PBE relaxed; values from VASP
&SYSTEM
  ibrav = 0, nat = 4, ntyp = 3
/
ATOMIC_SPECIES
Mg 24.30 Mg.upf
Pb 207.20 Pb.upf
W 183.84 W.upf
CELL_PARAMETERS angstrom
3.263 0.000 0.000
0.000 3.263 0.000
0.000 0.000 8.830
ATOMIC_POSITIONS crystal
Mg 0.000 0.000 0.000
Pb 0.500 0.500 0.275
Pb 0.500 0.500 0.725
W 0.000 0.000 0.500
! SG: No. 123
! DFT formation energy: 719 meV/atom

---

# 4
! DyZrFeOs PBE relaxed; values from VASP
&SYSTEM
  ibrav = 0, nat = 4, ntyp = 4
/
ATOMIC_SPECIES
Dy 162.50 Dy.upf
Zr 91.22 Zr.upf
Fe 55.84 Fe.upf
Os 190.23 Os.upf
CELL_PARAMETERS angstrom
0.000 3.302 3.302
3.302 0.000 3.302
3.302 3.302 0.000
ATOMIC_POSITIONS crystal
Dy 0.000 0.000 0.000
Zr 0.500 0.500 0.500
Fe 0.250 0.250 0.250
Os 0.750 0.750 0.750
! SG: No. 216
! DFT formation energy: -132 meV/atom

---

# 5
! ScNb2AsPb PBE relaxed; values from VASP
&SYSTEM
  ibrav = 0, nat = 5, ntyp = 4
/
ATOMIC_SPECIES
Sc 44.96 Sc.upf
Nb 92.91 Nb.upf
As 74.92 As.upf
Pb 207.20 Pb.upf
CELL_PARAMETERS angstrom
4.857 0.000 0.000
0.000 4.857 0.000
0.000 0.000 5.340
ATOMIC_POSITIONS crystal
Sc 0.000 0.000 0.000
Nb 0.000 0.500 0.000
Nb 0.500 0.000 0.000
As 0.500 0.500 0.500
Pb 0.000 0.000 0.500
! SG: No. 123
! DFT formation energy: 1417 meV/atom

---

# 6
! PmDyCdRu PBE relaxed; values from VASP
&SYSTEM
  ibrav = 0, nat = 4, ntyp = 4
/
ATOMIC_SPECIES
Pm 145.00 Pm.upf
Dy 162.50 Dy.upf
Cd 112.41 Cd.upf
Ru 101.07 Ru.upf
CELL_PARAMETERS angstrom
0.000 3.604 3.604
3.604 0.000 3.604
3.604 3.604 0.000
ATOMIC_POSITIONS crystal
Pm 0.000 0.000 0.000
Dy 0.500 0.500 0.500
Cd 0.250 0.250 0.250
Ru 0.750 0.750 0.750
! energy relative to the lowest polymorph listed for this composition: 101.0 meV/atom
! SG: No. 216
! DFT formation energy: -237 meV/atom

---

# 7
! Tb3Y3CuS8 PBE relaxed; values from VASP
&SYSTEM
  ibrav = 0, nat = 15, ntyp = 4
/
ATOMIC_SPECIES
Tb 158.93 Tb.upf
Y 88.91 Y.upf
Cu 63.55 Cu.upf
S 32.06 S.upf
CELL_PARAMETERS angstrom
3.891 2.246 6.352
-3.891 2.246 6.352
0.000 -4.493 6.352
ATOMIC_POSITIONS crystal
Tb 0.000 0.500 0.500
Tb 0.500 0.000 0.500
Tb 0.500 0.500 0.000
Y 0.000 0.000 0.500
Y 0.000 0.500 0.000
Y 0.500 0.000 0.000
Cu 0.500 0.500 0.500
S 0.250 0.250 0.250
S 0.255 0.744 0.744
S 0.256 0.256 0.745
S 0.256 0.745 0.256
S 0.744 0.255 0.744
S 0.744 0.744 0.255
S 0.745 0.256 0.256
S 0.750 0.750 0.750
! formation energy (no corrections): -1.829 eV per atom
! SG: No. 166

---

# 8
! MgInAu PBE relaxed; values from VASP
&SYSTEM
  ibrav = 0, nat = 3, ntyp = 3
/
ATOMIC_SPECIES
Mg 24.30 Mg.upf
In 114.82 In.upf
Au 196.97 Au.upf
CELL_PARAMETERS angstrom
-1.844 1.910 4.351
1.844 -1.910 4.351
1.844 1.910 -4.351
ATOMIC_POSITIONS crystal
Mg 0.000 0.000 0.000
In 0.324 0.324 0.000
Au 0.659 0.659 0.000
! SG: No. 44
! DFT formation energy: -301 meV/atom

---

# 9
! BeCuRh2 PBE relaxed; values from VASP
&SYSTEM
  ibrav = 0, nat = 4, ntyp = 3
/
ATOMIC_SPECIES
Be 9.01 Be.upf
Cu 63.55 Cu.upf
Rh 102.91 Rh.upf
CELL_PARAMETERS angstrom
2.712 0.000 0.000
0.000 3.837 0.000
-1.347 0.000 4.729
ATOMIC_POSITIONS crystal
Be 0.000 0.000 0.000
Cu 0.137 0.500 0.273
Rh 0.408 0.500 0.814
Rh 0.749 0.000 0.496
! SG: No. 6
! DFT formation energy: -103 meV/atom

---

Values of raw total energy, in order: -5.451, -3.194, -4.772, -8.343, -5.548, -5.122, -6.523, -2.838, -5.734, all in eV per atom.